1.
Computed, not measured: Ce2PmDyP4 after structural relaxation at the PBE level of DFT.

## Properties
E_form = -1.547 eV/atom
SG = P2/m
electronic total energy = -6.905 eV/atom

abc: 4.079 7.056 7.066
angles: 70.51 90.00 90.00
Sites, in units of the cell vectors:
1 Ce 0.000 0.000 0.000
2 Ce 0.500 0.000 0.500
3 Pm 0.500 0.500 0.000
4 Dy 0.000 0.500 0.500
5 P 0.000 0.753 0.745
6 P 0.000 0.247 0.255
7 P 0.500 0.750 0.254
8 P 0.500 0.250 0.746

---

2.
Computed, not measured: CoRe2Pb after structural relaxation at the PBE level of DFT.

## Properties
E_form = 0.698 eV/atom
SG = Immm
electronic total energy = -8.230 eV/atom

abc: 5.945 5.945 5.945
angles: 152.76 136.74 51.88
Sites, in units of the cell vectors:
1 Co 0.250 0.750 0.500
2 Pb 0.750 0.250 0.500
3 Re 0.043 0.043 0.000
4 Re 0.457 0.457 0.000

---

3.
Computed, not measured: CeNdDy2 after structural relaxation at the PBE level of DFT.

## Properties
E_form = 0.113 eV/atom
SG = C2/m
electronic total energy = -4.863 eV/atom

abc: 3.433 6.476 11.665
angles: 86.05 98.46 90.00
Sites, in units of the cell vectors:
1 Ce 0.499 0.209 0.998
2 Ce 0.501 0.791 0.002
3 Nd 0.250 0.257 0.500
4 Nd 0.750 0.743 0.500
5 Dy 0.122 0.967 0.243
6 Dy 0.376 0.533 0.753
7 Dy 0.624 0.467 0.247
8 Dy 0.878 0.033 0.757

---

4.
Computed, not measured: BeTePt after structural relaxation at the PBE level of DFT.

## Properties
uncorrected formation energy = 0.53 eV per atom
SG = P6_3/mmc
electronic total energy = -3.777 eV/atom

abc: 4.074 4.074 10.200
angles: 90.00 90.00 120.00
Sites, in units of the cell vectors:
1 Be 0.333 0.667 0.250
2 Be 0.667 0.333 0.750
3 Te 0.000 0.000 0.250
4 Te 0.000 0.000 0.750
5 Pt 0.000 0.000 0.000
6 Pt 0.000 0.000 0.500

---

5.
Computed, not measured: Rb3Ac3NbSe8 after structural relaxation at the PBE level of DFT.

## Properties
uncorrected formation energy = -1.52 eV per atom
SG = R-3m
electronic total energy = -5.063 eV/atom

abc: 8.845 8.845 9.651
angles: 117.30 90.00 120.00
Sites, in units of the cell vectors:
1 Rb 0.000 0.000 0.000
2 Rb 0.000 0.500 0.000
3 Rb 0.500 0.500 0.000
4 Ac 0.500 0.000 0.500
5 Ac 0.500 0.500 0.500
6 Ac 0.000 0.500 0.500
7 Nb 0.000 0.000 0.500
8 Se 0.262 0.525 0.287
9 Se 0.738 0.475 0.713
10 Se 0.791 0.583 0.313
11 Se 0.209 0.417 0.687
12 Se 0.791 0.021 0.313
13 Se 0.209 0.979 0.687
14 Se 0.229 0.021 0.313
15 Se 0.771 0.979 0.687

---

6.
Computed, not measured: AlGaO2 after structural relaxation at the PBE level of DFT.

## Properties
uncorrected formation energy = -0.59 eV per atom
SG = Fm-3m
electronic total energy = -4.765 eV/atom

abc: 3.951 3.951 3.951
angles: 60.00 60.00 60.00
Sites, in units of the cell vectors:
1 O 0.250 0.250 0.250
2 O 0.750 0.750 0.750
3 Al 0.000 0.000 0.000
4 Ga 0.500 0.500 0.500

---

7.
Computed, not measured: PmHoTm2S6 after structural relaxation at the PBE level of DFT.

## Properties
uncorrected formation energy = -2.05 eV per atom
SG = R3
electronic total energy = -6.355 eV/atom

abc: 6.908 6.908 7.324
angles: 61.86 61.86 59.99
Sites, in units of the cell vectors:
1 Pm 0.811 0.811 0.568
2 Ho 0.315 0.315 0.054
3 Tm 0.517 0.516 0.451
4 Tm 0.014 0.014 0.959
5 S 0.618 0.226 0.246
6 S 0.226 0.910 0.246
7 S 0.910 0.618 0.246
8 S 0.396 0.723 0.748
9 S 0.724 0.132 0.748
10 S 0.132 0.396 0.748

---

8.
Computed, not measured: UCo7Sn2As2 after structural relaxation at the PBE level of DFT.

## Properties
E_form = -0.066 eV/atom
SG = I4/mmm
electronic total energy = -6.594 eV/atom

abc: 3.637 3.637 14.792
angles: 82.97 82.97 90.00
Sites, in units of the cell vectors:
1 U 0.000 0.000 0.000
2 Co 0.500 0.500 0.000
3 Co 0.306 0.306 0.388
4 Co 0.694 0.694 0.612
5 Co 0.936 0.436 0.129
6 Co 0.436 0.936 0.129
7 Co 0.564 0.064 0.871
8 Co 0.064 0.564 0.871
9 Sn 0.788 0.788 0.424
10 Sn 0.212 0.212 0.576
11 As 0.615 0.615 0.769
12 As 0.385 0.385 0.231

---

9.
Computed, not measured: Hf4IrPd after structural relaxation at the PBE level of DFT.

## Properties
E_form = -0.495 eV/atom
SG = C2/c
electronic total energy = -9.473 eV/atom

abc: 5.632 8.303 6.931
angles: 115.43 98.99 114.66
Sites, in units of the cell vectors:
1 Hf 0.116 0.206 0.826
2 Hf 0.758 0.712 0.605
3 Hf 0.211 0.621 0.826
4 Hf 0.347 0.894 0.605
5 Hf 0.653 0.106 0.395
6 Hf 0.789 0.379 0.174
7 Hf 0.242 0.288 0.395
8 Hf 0.884 0.794 0.174
9 Ir 0.257 0.007 0.014
10 Ir 0.743 0.993 0.986
11 Pd 0.361 0.611 0.222
12 Pd 0.639 0.389 0.778

---

10.
Computed, not measured: Sr2Ag15Pd2 after structural relaxation at the PBE level of DFT.

## Properties
E_form = -0.110 eV/atom
SG = R-3m
electronic total energy = -3.085 eV/atom

abc: 7.336 7.336 7.336
angles: 82.86 82.86 82.86
Sites, in units of the cell vectors:
1 Sr 0.330 0.330 0.330
2 Sr 0.670 0.670 0.670
3 Ag 0.500 0.000 0.000
4 Ag 0.000 0.000 0.500
5 Ag 0.000 0.500 0.000
6 Ag 0.000 0.707 0.293
7 Ag 0.707 0.293 0.000
8 Ag 0.293 0.000 0.707
9 Ag 0.293 0.707 0.000
10 Ag 0.707 0.000 0.293
11 Ag 0.000 0.293 0.707
12 Ag 0.151 0.651 0.651
13 Ag 0.651 0.651 0.151
14 Ag 0.651 0.151 0.651
15 Ag 0.849 0.349 0.349
16 Ag 0.349 0.349 0.849
17 Ag 0.349 0.849 0.349
18 Pd 0.099 0.099 0.099
19 Pd 0.901 0.901 0.901

---

11.
Computed, not measured: Pa3Co4B2 after structural relaxation at the PBE level of DFT.

## Properties
E_form = -0.405 eV/atom
SG = C2/m
electronic total energy = -8.212 eV/atom

abc: 3.684 5.251 7.934
angles: 111.63 90.00 110.53
Sites, in units of the cell vectors:
1 Pa 0.630 0.261 0.683
2 Pa 0.000 0.000 0.000
3 Pa 0.370 0.739 0.317
4 Co 0.704 0.408 0.081
5 Co 0.296 0.592 0.919
6 Co 0.852 0.705 0.567
7 Co 0.148 0.295 0.433
8 B 0.655 0.309 0.319
9 B 0.345 0.691 0.681

---

12.
Computed, not measured: TiCu3Pd after structural relaxation at the PBE level of DFT.

## Properties
E_form = -0.116 eV/atom
SG = P2_1/m
electronic total energy = -5.192 eV/atom

abc: 4.668 4.822 6.233
angles: 90.00 94.98 90.00
Sites, in units of the cell vectors:
1 Ti 0.617 0.750 0.326
2 Ti 0.383 0.250 0.674
3 Cu 0.888 0.999 0.812
4 Cu 0.112 0.001 0.188
5 Cu 0.888 0.501 0.812
6 Cu 0.112 0.499 0.188
7 Cu 0.138 0.750 0.530
8 Cu 0.862 0.250 0.470
9 Pd 0.412 0.750 0.898
10 Pd 0.588 0.250 0.102

---

13.
Computed, not measured: AlIr2Cl after structural relaxation at the PBE level of DFT.

## Properties
uncorrected formation energy = 0.07 eV per atom
SG = P4mm
electronic total energy = -5.754 eV/atom

abc: 2.835 2.835 8.958
angles: 90.00 90.00 90.00
Sites, in units of the cell vectors:
1 Ir 0.000 0.000 0.080
2 Ir 0.500 0.500 0.284
3 Al 0.000 0.000 0.473
4 Cl 0.500 0.500 0.663

---

14.
Computed, not measured: Tb3TmHg4 after structural relaxation at the PBE level of DFT.

## Properties
E_form = -0.284 eV/atom
SG = C2/m
electronic total energy = -2.730 eV/atom

abc: 5.331 5.990 7.546
angles: 106.43 110.69 90.00
Sites, in units of the cell vectors:
1 Tb 0.000 0.500 0.000
2 Tb 0.167 0.080 0.334
3 Tb 0.833 0.920 0.666
4 Tm 0.500 0.000 0.000
5 Hg 0.261 0.670 0.522
6 Hg 0.739 0.330 0.478
7 Hg 0.611 0.651 0.223
8 Hg 0.389 0.349 0.777

---

15.
Computed, not measured: Ba3Pa after structural relaxation at the PBE level of DFT.

## Properties
E_form = 0.750 eV/atom
SG = I4/mmm
electronic total energy = -3.066 eV/atom

abc: 7.079 7.079 7.079
angles: 131.92 131.92 70.36
Sites, in units of the cell vectors:
1 Pa 0.000 0.000 0.000
2 Ba 0.750 0.250 0.500
3 Ba 0.250 0.750 0.500
4 Ba 0.500 0.500 0.000

---

16.
Computed, not measured: Er5In2Ga after structural relaxation at the PBE level of DFT.

## Properties
E_form = -0.303 eV/atom
SG = Cm
electronic total energy = -4.218 eV/atom

abc: 6.820 6.820 6.598
angles: 121.13 121.13 90.00
Sites, in units of the cell vectors:
1 Er 0.722 0.222 0.944
2 Er 0.222 0.222 0.944
3 Er 0.722 0.722 0.945
4 Er 0.222 0.722 0.944
5 Er 0.722 0.722 0.444
6 In 0.222 0.722 0.444
7 In 0.722 0.222 0.444
8 Ga 0.223 0.223 0.445

---

17.
Computed, not measured: Y2Tl3 after structural relaxation at the PBE level of DFT.

## Properties
E_form = -0.314 eV/atom
SG = P4/m
electronic total energy = -4.319 eV/atom

abc: 4.560 7.768 7.768
angles: 90.00 90.00 90.00
Sites, in units of the cell vectors:
1 Y 0.500 0.695 0.870
2 Y 0.500 0.130 0.695
3 Y 0.500 0.870 0.305
4 Y 0.500 0.305 0.130
5 Tl 0.000 0.395 0.820
6 Tl 0.000 0.820 0.605
7 Tl 0.000 0.605 0.180
8 Tl 0.000 0.180 0.395
9 Tl 0.500 0.500 0.500
10 Tl 0.000 0.000 0.000

---

18.
Computed, not measured: SrYSi after structural relaxation at the PBE level of DFT.

## Properties
uncorrected formation energy = -0.43 eV per atom
SG = P4/nmm
electronic total energy = -4.950 eV/atom

abc: 4.782 4.782 7.986
angles: 90.00 90.00 90.00
Sites, in units of the cell vectors:
1 Sr 0.000 0.500 0.862
2 Sr 0.500 0.000 0.138
3 Si 0.000 0.500 0.273
4 Si 0.500 0.000 0.727
5 Y 0.500 0.500 0.500
6 Y 0.000 0.000 0.500

---

19.
Computed, not measured: YCd3Hg after structural relaxation at the PBE level of DFT.

## Properties
E_form = 0.312 eV/atom
SG = Pm-3m
electronic total energy = -1.590 eV/atom

abc: 5.285 5.285 5.285
angles: 90.00 90.00 90.00
Sites, in units of the cell vectors:
1 Y 0.500 0.500 0.500
2 Hg 0.000 0.000 0.000
3 Cd 0.000 0.500 0.000
4 Cd 0.000 0.000 0.500
5 Cd 0.500 0.000 0.000

---

20.
Computed, not measured: PrMn3Ge3 after structural relaxation at the PBE level of DFT.

## Properties
E_form = 0.191 eV/atom
SG = Pm-3n
electronic total energy = -6.400 eV/atom

abc: 6.711 6.711 6.711
angles: 90.00 90.00 90.00
Sites, in units of the cell vectors:
1 Pr 0.500 0.500 0.500
2 Pr 0.000 0.000 0.000
3 Ge 0.000 0.250 0.500
4 Ge 0.000 0.750 0.500
5 Ge 0.500 0.000 0.750
6 Ge 0.750 0.500 0.000
7 Ge 0.500 0.000 0.250
8 Ge 0.250 0.500 0.000
9 Mn 0.250 0.000 0.500
10 Mn 0.000 0.500 0.250
11 Mn 0.500 0.750 0.000
12 Mn 0.750 0.000 0.500
13 Mn 0.000 0.500 0.750
14 Mn 0.500 0.250 0.000

---

21.
Computed, not measured: VHgPd after structural relaxation at the PBE level of DFT.

## Properties
E_form = 0.062 eV/atom
SG = I4mm
electronic total energy = -4.810 eV/atom

abc: 2.864 2.864 6.374
angles: 102.98 102.98 90.00
Sites, in units of the cell vectors:
1 Hg 0.670 0.670 0.340
2 Pd 0.986 0.986 0.972
3 V 0.344 0.344 0.688

---

22.
Computed, not measured: PmHPd2 after structural relaxation at the PBE level of DFT.

## Properties
SG = R-3m
electronic total energy = -4.856 eV/atom

abc: 3.886 3.886 5.686
angles: 70.02 70.02 60.00
Sites, in units of the cell vectors:
1 H 0.500 0.500 0.500
2 Pd 0.786 0.786 0.641
3 Pd 0.214 0.214 0.359
4 Pm 0.000 0.000 0.000

---

23.
Computed, not measured: Cs2TlAs2 after structural relaxation at the PBE level of DFT.

## Properties
E_form = -0.240 eV/atom
SG = P4/mbm
electronic total energy = -2.914 eV/atom

abc: 7.974 7.974 5.970
angles: 90.00 90.00 90.00
Sites, in units of the cell vectors:
1 Cs 0.179 0.679 0.500
2 Cs 0.679 0.821 0.500
3 Cs 0.821 0.321 0.500
4 Cs 0.321 0.179 0.500
5 Tl 0.000 0.000 0.000
6 Tl 0.500 0.500 0.000
7 As 0.393 0.893 0.000
8 As 0.893 0.607 0.000
9 As 0.607 0.107 0.000
10 As 0.107 0.393 0.000

---

24.
Computed, not measured: NaYTi after structural relaxation at the PBE level of DFT.

## Properties
E_form = 0.303 eV/atom
SG = Cmcm
electronic total energy = -4.923 eV/atom

abc: 4.088 4.851 16.869
angles: 90.00 90.00 90.00
Sites, in units of the cell vectors:
1 Y 0.750 0.250 0.827
2 Y 0.750 0.750 0.327
3 Y 0.250 0.750 0.173
4 Y 0.250 0.250 0.673
5 Na 0.750 0.250 0.480
6 Na 0.750 0.750 0.980
7 Na 0.250 0.750 0.520
8 Na 0.250 0.250 0.020
9 Ti 0.250 0.250 0.299
10 Ti 0.250 0.750 0.799
11 Ti 0.750 0.750 0.701
12 Ti 0.750 0.250 0.201